Model i:
# K2NaInF6

A geometry-optimized K2NaInF6 structure (GGA-PBE, Alexandria via LeMat-Bulk).

Unit cell a=8.7163 b=8.7163 c=8.7163 alpha=90.00 beta=90.00 gamma=90.00
Space group Fm-3m (No. 225)
Inequivalent atoms, fractional coordinates:
K (0.2500, 0.2500, 0.2500) [8 per cell]
Na (0.0000, 0.0000, 0.0000) [4 per cell]
In (0.0000, 0.0000, 0.5000) [4 per cell]
F (0.0000, 0.0000, 0.2591) [24 per cell]

=====

Model ii:
# K2NaInF6

A geometry-optimized K2NaInF6 structure (GGA-PBE, Alexandria via LeMat-Bulk).

Unit cell a=6.1241 b=6.1713 c=10.6105 alpha=90.00 beta=125.14 gamma=90.00
Space group P2_1/c (No. 14)
Inequivalent atoms, fractional coordinates:
K (0.2436, 0.0325, 0.2496) [4 per cell]
Na (0.0000, 0.0000, 0.5000) [2 per cell]
In (0.5000, 0.0000, 0.0000) [2 per cell]
F (0.1928, 0.2019, 0.9670) [4 per cell]
F (0.2646, 0.7256, 0.9643) [4 per cell]
F (0.3276, 0.0180, 0.7616) [4 per cell]

=====

The most stable of them is model ii.

=====

Model i:
# LaInF2

A geometry-optimized LaInF2 structure (GGA-PBE, Alexandria via LeMat-Bulk).

Unit cell a=6.7367 b=6.7367 c=6.7367 alpha=90.00 beta=90.00 gamma=90.00
Space group Fm-3m (No. 225)
Inequivalent atoms, fractional coordinates:
La (0.0000, 0.0000, 0.0000) [4 per cell]
In (0.0000, 0.0000, 0.5000) [4 per cell]
F (0.2500, 0.2500, 0.2500) [8 per cell]

=====

Model ii:
# LaInF2

A geometry-optimized LaInF2 structure (GGA-PBE, Alexandria via LeMat-Bulk).

Unit cell a=3.4838 b=3.4838 c=26.6388 alpha=90.00 beta=90.00 gamma=120.00
Space group R-3m (No. 166, hexagonal axes)
Inequivalent atoms, fractional coordinates:
La (0.0000, 0.0000, 0.0000) [3 per cell]
In (0.0000, 0.0000, 0.5000) [3 per cell]
F (0.0000, 0.0000, 0.3901) [6 per cell]

=====

The most stable of them is model ii.

=====

Model i:
# LaInF2

A geometry-optimized LaInF2 structure (GGA-PBE, Alexandria via LeMat-Bulk).

Unit cell a=4.7831 b=4.7831 c=13.4600 alpha=90.00 beta=90.00 gamma=120.00
Space group R-3m (No. 166, hexagonal axes)
Inequivalent atoms, fractional coordinates:
La (0.0000, 0.0000, 0.0000) [3 per cell]
In (0.0000, 0.0000, 0.5000) [3 per cell]
F (0.0000, 0.0000, 0.1697) [6 per cell]

=====

Model ii:
# LaInF2

A geometry-optimized LaInF2 structure (GGA-PBE, Alexandria via LeMat-Bulk).

Unit cell a=5.7150 b=5.7150 c=13.8562 alpha=90.00 beta=90.00 gamma=90.00
Space group I-42d (No. 122)
Inequivalent atoms, fractional coordinates:
La (0.0000, 0.0000, 0.0000) [4 per cell]
In (0.0000, 0.0000, 0.5000) [4 per cell]
F (0.0666, 0.2500, 0.1250) [8 per cell]

=====

The most stable of them is model ii.

=====

Model i:
# La2InF

A geometry-optimized La2InF structure (GGA-PBE, Alexandria via LeMat-Bulk).

Unit cell a=7.6157 b=7.6157 c=7.6157 alpha=90.00 beta=90.00 gamma=90.00
Space group Fm-3m (No. 225)
Inequivalent atoms, fractional coordinates:
La (0.2500, 0.2500, 0.2500) [8 per cell]
In (0.0000, 0.0000, 0.0000) [4 per cell]
F (0.0000, 0.0000, 0.5000) [4 per cell]

=====

Model ii:
# La2InF

A geometry-optimized La2InF structure (GGA-PBE, Alexandria via LeMat-Bulk).

Unit cell a=3.4342 b=3.4342 c=8.2566 alpha=90.00 beta=90.00 gamma=90.00
Space group P4/mmm (No. 123)
Inequivalent atoms, fractional coordinates:
La (0.0000, 0.0000, 0.2255) [2 per cell]
In (0.5000, 0.5000, 0.5000) [1 per cell]
F (0.5000, 0.5000, 0.0000) [1 per cell]

=====

Model iii:
# La2InF

A geometry-optimized La2InF structure (GGA-PBE, Alexandria via LeMat-Bulk).

Unit cell a=7.6265 b=7.6265 c=7.7572 alpha=90.00 beta=90.00 gamma=90.00
Space group I-42d (No. 122)
Inequivalent atoms, fractional coordinates:
La (0.1711, 0.2500, 0.1250) [8 per cell]
In (0.0000, 0.0000, 0.5000) [4 per cell]
F (0.0000, 0.0000, 0.0000) [4 per cell]

=====

Model iv:
# La2InF

A geometry-optimized La2InF structure (GGA-PBE, Alexandria via LeMat-Bulk).

Unit cell a=3.9229 b=3.9229 c=23.6735 alpha=90.00 beta=90.00 gamma=120.00
Space group R-3m (No. 166, hexagonal axes)
Inequivalent atoms, fractional coordinates:
La (0.0000, 0.0000, 0.2286) [6 per cell]
In (0.0000, 0.0000, 0.0000) [3 per cell]
F (0.0000, 0.0000, 0.5000) [3 per cell]

=====

The most stable of them is model iv.

=====

Model i:
# LaInF3

A geometry-optimized LaInF3 structure (GGA-PBE, Alexandria via LeMat-Bulk).

Unit cell a=4.7684 b=4.7684 c=4.7684 alpha=90.00 beta=90.00 gamma=90.00
Space group Pm-3m (No. 221)
Inequivalent atoms, fractional coordinates:
La (0.0000, 0.0000, 0.0000) [1 per cell]
In (0.5000, 0.5000, 0.5000) [1 per cell]
F (0.0000, 0.0000, 0.5000) [3 per cell]

=====

Model ii:
# LaInF3

A geometry-optimized LaInF3 structure (GGA-PBE, Alexandria via LeMat-Bulk).

Unit cell a=4.6581 b=4.6581 c=4.6581 alpha=90.00 beta=90.00 gamma=90.00
Space group Pm-3m (No. 221)
Inequivalent atoms, fractional coordinates:
La (0.0000, 0.0000, 0.0000) [1 per cell]
In (0.5000, 0.5000, 0.5000) [1 per cell]
F (0.0000, 0.5000, 0.5000) [3 per cell]

=====

The most stable of them is model i.

=====

Model i:
# LaIn2F

A geometry-optimized LaIn2F structure (GGA-PBE, Alexandria via LeMat-Bulk).

Unit cell a=7.4662 b=7.4662 c=7.4662 alpha=90.00 beta=90.00 gamma=90.00
Space group Fm-3m (No. 225)
Inequivalent atoms, fractional coordinates:
La (0.0000, 0.0000, 0.0000) [4 per cell]
In (0.2500, 0.2500, 0.2500) [8 per cell]
F (0.0000, 0.0000, 0.5000) [4 per cell]

=====

Model ii:
# LaIn2F

A geometry-optimized LaIn2F structure (GGA-PBE, Alexandria via LeMat-Bulk).

Unit cell a=9.7648 b=9.7648 c=4.7259 alpha=90.00 beta=90.00 gamma=90.00
Space group I-42d (No. 122)
Inequivalent atoms, fractional coordinates:
La (0.0000, 0.0000, 0.0000) [4 per cell]
In (0.1698, 0.7500, 0.6250) [8 per cell]
F (0.0000, 0.0000, 0.5000) [4 per cell]

=====

The most stable of them is model ii.

=====

Model i:
# LaInNF2

A geometry-optimized LaInNF2 structure (GGA-PBE, Alexandria via LeMat-Bulk).

Unit cell a=4.8201 b=4.8201 c=4.3732 alpha=90.00 beta=90.00 gamma=90.00
Space group P4/mmm (No. 123)
Inequivalent atoms, fractional coordinates:
La (0.0000, 0.0000, 0.0000) [1 per cell]
In (0.5000, 0.5000, 0.5000) [1 per cell]
N (0.0000, 0.0000, 0.5000) [1 per cell]
F (0.0000, 0.5000, 0.0000) [2 per cell]

=====

Model ii:
# LaInNF2

A geometry-optimized LaInNF2 structure (GGA-PBE, Alexandria via LeMat-Bulk).

Unit cell a=4.4024 b=4.4024 c=4.2097 alpha=90.00 beta=90.00 gamma=90.00
Space group P4/mmm (No. 123)
Inequivalent atoms, fractional coordinates:
La (0.0000, 0.0000, 0.0000) [1 per cell]
In (0.5000, 0.5000, 0.5000) [1 per cell]
N (0.5000, 0.5000, 0.0000) [1 per cell]
F (0.0000, 0.5000, 0.5000) [2 per cell]

=====

The most stable of them is model i.

=====

Model i:
# Li2In2F7

A geometry-optimized Li2In2F7 structure (GGA-PBE, Alexandria via LeMat-Bulk).

Unit cell a=8.1347 b=7.3113 c=5.3697 alpha=90.00 beta=102.51 gamma=90.00
Space group C2/m (No. 12)
Inequivalent atoms, fractional coordinates:
Li (0.0000, 0.1909, 0.0000) [4 per cell]
In (0.2332, 0.0000, 0.5115) [4 per cell]
F (0.0000, 0.5000, 0.5000) [2 per cell]
F (0.0384, 0.0000, 0.7553) [4 per cell]
F (0.1992, 0.2504, 0.2462) [8 per cell]

=====

Model ii:
# Li2In2F7

A geometry-optimized Li2In2F7 structure (GGA-PBE, Alexandria via LeMat-Bulk).

Unit cell a=7.0527 b=8.7844 c=5.2814 alpha=90.00 beta=100.05 gamma=90.00
Space group C2/m (No. 12)
Inequivalent atoms, fractional coordinates:
Li (0.2342, 0.0000, 0.4337) [4 per cell]
In (0.0000, 0.2977, 0.0000) [4 per cell]
F (0.0000, 0.0000, 0.5000) [2 per cell]
F (0.0891, 0.5000, 0.2432) [4 per cell]
F (0.2489, 0.3244, 0.7887) [8 per cell]

=====

The most stable of them is model i.